Na3Tl2Bi3 GGA-PBE relaxed; D(E_F) = 3.45 states/eV per cell; crystal system = monoclinic; offset from the most stable computed form = 0.000 eV/atom; formation energy = -0.216 eV/atom
1.0
4.988 0.000 -0.594
0.000 4.989 0.000
-1.261 -2.495 9.797
Bi Tl Na
3 2 3
Direct
0.500 0.500 0.000
0.882 0.377 0.753
0.118 0.623 0.247
0.251 0.249 0.498
0.749 0.751 0.502
0.000 0.000 0.000
0.381 0.878 0.756
0.619 0.122 0.244

---

La3Tb2Y8 GGA-PBE relaxed; D(E_F) = 24.40 states/eV per cell; crystal system = monoclinic; offset from the most stable computed form = 0.104 eV/atom; formation energy = 0.252 eV/atom
1.0
5.683 0.000 0.626
0.000 7.779 0.000
-1.136 -3.890 10.071
Y La Tb
8 3 2
Direct
0.499 0.599 0.782
0.001 0.863 0.727
0.501 0.817 0.218
0.997 0.326 0.651
0.501 0.401 0.218
0.003 0.674 0.349
0.999 0.137 0.273
0.499 0.183 0.782
0.500 0.000 0.000
0.000 0.299 0.000
0.000 0.701 0.000
0.496 0.241 0.482
0.504 0.759 0.518

---

TlNi2HgAs GGA-PBE relaxed; D(E_F) = 3.33 states/eV per cell; crystal system = tetragonal; formation energy = 1.161 eV/atom
1.0
-4.039 -1.799 1.988
1.944 -4.815 -0.408
1.979 0.426 4.405
Hg Ni As Tl
1 2 1 1
Direct
0.500 0.500 0.500
0.500 0.000 0.000
0.000 0.000 0.500
0.000 0.500 0.000
0.000 0.000 0.000